LaMn3F | GGA+U | relaxed

As for the theoretical density: 6.102 g cm⁻³. Its crystal system is cubic. For the density of states at the Fermi level, the calculation gives 2.6 states/eV/cell. The total moment is 1.37 μB per cell. Its space group is Pm-3m, No. 221. The energy above the most stable polymorph in this dataset comes out at 445 meV/atom.

Lattice parameters (Å, degrees): 4.4451 4.4451 4.4451 90.00 90.00 90.00
Atoms (fractional coordinates):
La: 0.0000 0.0000 0.0000
Mn: 0.0000 0.5000 0.5000
Mn: 0.5000 0.0000 0.5000
Mn: 0.5000 0.5000 0.0000
F: 0.5000 0.5000 0.5000